DFT (PBE-GGA) results for an optimized crystal structure of Ta2Ni2As.

abc: 6.2121 6.2121 3.7973
angles: 90.00 90.00 90.00
Positions (direct):
Ni1 0.3673 0.8673 0.0000
Ni2 0.8673 0.6327 0.0000
Ni3 0.6327 0.1327 0.0000
Ni4 0.1327 0.3673 0.0000
As1 0.0000 0.0000 0.0000
As2 0.5000 0.5000 0.0000
Ta1 0.1690 0.6690 0.5000
Ta2 0.6690 0.8310 0.5000
Ta3 0.8310 0.3310 0.5000
Ta4 0.3310 0.1690 0.5000

Results
N(E_F): 4.19 states/eV/f.u.
calculated formation energy: -0.163 eV/atom
symmetry: No. 127